1.
# Pr2GaCu (PBE, optimized geometry)
data_Pr2GaCu
_symmetry_space_group_name_H-M 'R -3 m'
_symmetry_Int_Tables_number 166
_symmetry_space_group_name_Hall '-R 3 2"'
_cell_length_a 3.4882
_cell_length_b 3.4882
_cell_length_c 32.2500
_cell_angle_alpha 90.00
_cell_angle_beta 90.00
_cell_angle_gamma 120.00
loop_
_atom_site_label
_atom_site_type_symbol
_atom_site_fract_x
_atom_site_fract_y
_atom_site_fract_z
Pr1 Pr 0.0000 0.0000 0.0981
Ga1 Ga 0.0000 0.0000 0.0000
Cu1 Cu 0.0000 0.0000 0.5000
# - crystal system = trigonal
# - VASP energy (eV/atom) = -3.9425
# - formation energy from the elements (eV per atom) = 0.228

=====

2.
# NaFe2AgBr8 (PBE, optimized geometry)
data_NaFe2AgBr8
_symmetry_space_group_name_H-M 'P -3'
_symmetry_Int_Tables_number 147
_symmetry_space_group_name_Hall '-P 3'
_cell_length_a 6.8858
_cell_length_b 6.8858
_cell_length_c 9.6416
_cell_angle_alpha 90.00
_cell_angle_beta 90.00
_cell_angle_gamma 120.00
loop_
_atom_site_label
_atom_site_type_symbol
_atom_site_fract_x
_atom_site_fract_y
_atom_site_fract_z
Na1 Na 0.0000 0.0000 0.0000
Fe1 Fe 0.3333 0.6667 0.7573
Ag1 Ag 0.0000 0.0000 0.5000
Br1 Br 0.0128 0.3300 0.6857
Br2 Br 0.3333 0.6667 0.0002
# - crystal system = trigonal
# - VASP energy (eV/atom) = -3.4696
# - ΔE_f (raw) (eV/atom) = -0.596

=====

3.
# AcP2H (PBE, optimized geometry)
data_AcP2H
_symmetry_space_group_name_H-M 'R -3 m'
_symmetry_Int_Tables_number 166
_symmetry_space_group_name_Hall '-R 3 2"'
_cell_length_a 4.9160
_cell_length_b 4.9160
_cell_length_c 16.7661
_cell_angle_alpha 90.00
_cell_angle_beta 90.00
_cell_angle_gamma 120.00
loop_
_atom_site_label
_atom_site_type_symbol
_atom_site_fract_x
_atom_site_fract_y
_atom_site_fract_z
Ac1 Ac 0.0000 0.0000 0.0000
P1 P 0.0000 0.0000 0.4045
H1 H 0.0000 0.0000 0.5000
# - crystal system = trigonal
# - VASP energy (eV/atom) = -4.6653

=====

4.
# Sc2As (PBE, optimized geometry)
data_Sc2As
_symmetry_space_group_name_H-M 'I 4/m c m'
_symmetry_Int_Tables_number 140
_symmetry_space_group_name_Hall '-I 4 2c'
_cell_length_a 6.5992
_cell_length_b 6.5992
_cell_length_c 5.6907
_cell_angle_alpha 90.00
_cell_angle_beta 90.00
_cell_angle_gamma 90.00
loop_
_atom_site_label
_atom_site_type_symbol
_atom_site_fract_x
_atom_site_fract_y
_atom_site_fract_z
Sc1 Sc 0.1658 0.3342 0.0000
As1 As 0.0000 0.0000 0.2500
# - crystal system = tetragonal
# - VASP energy (eV/atom) = -6.5875
# - formation energy from the elements (eV per atom) = -0.817

=====

5.
# ReP2PtS (PBE, optimized geometry)
data_ReP2PtS
_symmetry_space_group_name_H-M 'P 4/m m m'
_symmetry_Int_Tables_number 123
_symmetry_space_group_name_Hall '-P 4 2'
_cell_length_a 4.5950
_cell_length_b 4.5950
_cell_length_c 4.7048
_cell_angle_alpha 90.00
_cell_angle_beta 90.00
_cell_angle_gamma 90.00
loop_
_atom_site_label
_atom_site_type_symbol
_atom_site_fract_x
_atom_site_fract_y
_atom_site_fract_z
Re1 Re 0.0000 0.0000 0.0000
P1 P 0.0000 0.5000 0.5000
Pt1 Pt 0.5000 0.5000 0.5000
S1 S 0.5000 0.5000 0.0000
# - crystal system = tetragonal
# - VASP energy (eV/atom) = -5.2404
# - ΔE_f (raw) (eV/atom) = 1.447
# - E above lowest polymorph (eV/f.u.) = 3.06

=====

6.
# PrInAu (PBE, optimized geometry)
data_PrInAu
_symmetry_space_group_name_H-M 'I 4 m m'
_symmetry_Int_Tables_number 107
_symmetry_space_group_name_Hall 'I 4 -2'
_cell_length_a 3.5841
_cell_length_b 3.5841
_cell_length_c 11.7498
_cell_angle_alpha 90.00
_cell_angle_beta 90.00
_cell_angle_gamma 90.00
loop_
_atom_site_label
_atom_site_type_symbol
_atom_site_fract_x
_atom_site_fract_y
_atom_site_fract_z
Pr1 Pr 0.0000 0.0000 0.0000
In1 In 0.0000 0.0000 0.6971
Au1 Au 0.0000 0.0000 0.3341
# - crystal system = tetragonal
# - VASP energy (eV/atom) = -4.1158
# - formation energy from the elements (eV per atom) = -0.517